VASP calculation (PBE) on crystalline Nd2Ag2Sn3 at its relaxed geometry.

a b c (Å): 10.406 10.406 7.506
angles (deg): 90.00 90.00 153.73
Sites, in units of the cell vectors:
Nd1 0.047 0.953 0.750
Nd2 0.157 0.843 0.250
Nd3 0.843 0.157 0.750
Nd4 0.953 0.047 0.250
Ag1 0.302 0.698 0.051
Ag2 0.302 0.698 0.449
Ag3 0.698 0.302 0.551
Ag4 0.698 0.302 0.949
Sn1 0.216 0.784 0.750
Sn2 0.433 0.567 0.556
Sn3 0.433 0.567 0.944
Sn4 0.567 0.433 0.056
Sn5 0.567 0.433 0.444
Sn6 0.784 0.216 0.250

Properties
Total magnetization (μB per formula unit): 0.00
SG: Cmcm
Crystal system: orthorhombic
VASP energy (eV for the cell shown): -62.0
ΔE_f (eV/f.u.): -3.7